# PrGa8Cu4

PrGa8Cu4 after structural relaxation (PBE, Alexandria). Values from VASP.

Computed properties:
The space group is No. 139.

Quantum ESPRESSO input file:
```
&SYSTEM
  ibrav = 0, nat = 13, ntyp = 3
/
ATOMIC_SPECIES
Pr 140.91 Pr.upf
Ga 69.72 Ga.upf
Cu 63.55 Cu.upf
CELL_PARAMETERS angstrom
-4.4517 4.4517 2.6687
4.4517 -4.4517 2.6687
4.4517 4.4517 -2.6687
ATOMIC_POSITIONS crystal
Pr 0.0000 0.0000 0.0000
Ga 0.0000 0.3486 0.3486
Ga 0.0000 0.6514 0.6514
Ga 0.2825 0.5000 0.7825
Ga 0.3486 0.0000 0.3486
Ga 0.5000 0.2825 0.7825
Ga 0.5000 0.7175 0.2175
Ga 0.6514 0.0000 0.6514
Ga 0.7175 0.5000 0.2175
Cu 0.0000 0.0000 0.5000
Cu 0.0000 0.5000 0.0000
Cu 0.5000 0.0000 0.0000
Cu 0.5000 0.5000 0.5000
```

=====

# Y2ZrCu

Y2ZrCu after structural relaxation (PBE, Alexandria). Values from VASP.

Computed properties:
Its energy above the most stable polymorph in this dataset is 0.200 eV/atom. The space group is No. 123.

Quantum ESPRESSO input file:
```
&SYSTEM
  ibrav = 0, nat = 4, ntyp = 3
/
ATOMIC_SPECIES
Y 88.91 Y.upf
Zr 91.22 Zr.upf
Cu 63.55 Cu.upf
CELL_PARAMETERS angstrom
5.3118 0.0000 0.0000
0.0000 5.3118 0.0000
0.0000 0.0000 3.4349
ATOMIC_POSITIONS crystal
Y 0.0000 0.5000 0.0000
Y 0.5000 0.0000 0.0000
Zr 0.0000 0.0000 0.5000
Cu 0.5000 0.5000 0.5000
```

=====

# Al3CdBi

Al3CdBi after structural relaxation (PBE, Alexandria). Values from VASP.

Computed properties:
Its energy above the most stable polymorph in this dataset is 0.000 eV/atom. The space group is No. 221.

Quantum ESPRESSO input file:
```
&SYSTEM
  ibrav = 0, nat = 5, ntyp = 3
/
ATOMIC_SPECIES
Al 26.98 Al.upf
Cd 112.41 Cd.upf
Bi 208.98 Bi.upf
CELL_PARAMETERS angstrom
5.0993 0.0000 0.0000
0.0000 5.0993 0.0000
0.0000 0.0000 5.0993
ATOMIC_POSITIONS crystal
Al 0.0000 0.0000 0.5000
Al 0.0000 0.5000 0.0000
Al 0.5000 0.0000 0.0000
Cd 0.0000 0.0000 0.0000
Bi 0.5000 0.5000 0.5000
```

=====

# MgUHg2O6

MgUHg2O6 after structural relaxation (PBE, Alexandria). Values from VASP.

Computed properties:
The space group is No. 14.

Quantum ESPRESSO input file:
```
&SYSTEM
  ibrav = 0, nat = 20, ntyp = 4
/
ATOMIC_SPECIES
Mg 24.30 Mg.upf
U 238.03 U.upf
Hg 200.59 Hg.upf
O 16.00 O.upf
CELL_PARAMETERS angstrom
5.6257 0.0000 0.0000
0.0000 5.7457 0.0000
-5.5834 0.0000 8.2509
ATOMIC_POSITIONS crystal
Mg 0.0000 0.0000 0.0000
Mg 0.0000 0.5000 0.5000
U 0.5000 0.0000 0.5000
U 0.5000 0.5000 0.0000
Hg 0.2543 0.0350 0.7509
Hg 0.2543 0.4650 0.2509
Hg 0.7457 0.5350 0.7491
Hg 0.7457 0.9650 0.2491
O 0.1498 0.0488 0.2483
O 0.1498 0.4512 0.7483
O 0.2518 0.6955 0.0547
O 0.2518 0.8045 0.5547
O 0.3644 0.1992 0.0541
O 0.3644 0.3008 0.5541
O 0.6356 0.6992 0.4459
O 0.6356 0.8008 0.9459
O 0.7482 0.1955 0.4453
O 0.7482 0.3045 0.9453
O 0.8502 0.5488 0.2517
O 0.8502 0.9512 0.7517
```

=====

# LaTiPO2

LaTiPO2 after structural relaxation (PBE, Alexandria). Values from VASP.

Computed properties:
Its energy above the most stable polymorph in this dataset is 0.000 eV/atom. The space group is No. 123.

Quantum ESPRESSO input file:
```
&SYSTEM
  ibrav = 0, nat = 5, ntyp = 4
/
ATOMIC_SPECIES
La 138.91 La.upf
Ti 47.87 Ti.upf
P 30.97 P.upf
O 16.00 O.upf
CELL_PARAMETERS angstrom
4.0336 0.0000 0.0000
0.0000 4.0336 0.0000
0.0000 0.0000 4.8888
ATOMIC_POSITIONS crystal
La 0.0000 0.0000 0.0000
Ti 0.5000 0.5000 0.5000
P 0.5000 0.5000 0.0000
O 0.0000 0.5000 0.5000
O 0.5000 0.0000 0.5000
```

=====

# Ce3Ir2

Ce3Ir2 after structural relaxation (PBE, Alexandria). Values from VASP.

Computed properties:
Its energy above the most stable polymorph in this dataset is 0.000 eV/atom. The space group is No. 148.

Quantum ESPRESSO input file:
```
&SYSTEM
  ibrav = 0, nat = 15, ntyp = 2
/
ATOMIC_SPECIES
Ce 140.12 Ce.upf
Ir 192.22 Ir.upf
CELL_PARAMETERS angstrom
4.3311 2.5005 5.5803
-4.3311 2.5005 5.5803
0.0000 -5.0011 5.5803
ATOMIC_POSITIONS crystal
Ce 0.0000 0.0000 0.0000
Ce 0.1639 0.6648 0.3928
Ce 0.1992 0.1992 0.1992
Ce 0.3352 0.6072 0.8361
Ce 0.3928 0.1639 0.6648
Ce 0.6072 0.8361 0.3352
Ce 0.6648 0.3928 0.1639
Ce 0.8008 0.8008 0.8008
Ce 0.8361 0.3352 0.6072
Ir 0.0465 0.4121 0.8276
Ir 0.1724 0.9535 0.5879
Ir 0.4121 0.8276 0.0465
Ir 0.5879 0.1724 0.9535
Ir 0.8276 0.0465 0.4121
Ir 0.9535 0.5879 0.1724
```

=====

# Sm3Co2

Sm3Co2 after structural relaxation (PBE, Alexandria). Values from VASP.

Computed properties:
Its energy above the most stable polymorph in this dataset is 0.008 eV/atom. The space group is No. 65.

Quantum ESPRESSO input file:
```
&SYSTEM
  ibrav = 0, nat = 5, ntyp = 2
/
ATOMIC_SPECIES
Sm 150.36 Sm.upf
Co 58.93 Co.upf
CELL_PARAMETERS angstrom
2.0050 -7.2589 0.0000
2.0050 7.2589 0.0000
0.0000 0.0000 4.1130
ATOMIC_POSITIONS crystal
Sm 0.0000 0.0000 0.0000
Sm 0.3527 0.6473 0.5000
Sm 0.6473 0.3527 0.5000
Co 0.2114 0.7886 0.0000
Co 0.7886 0.2114 0.0000
```

=====

# NdSm3Cu4

NdSm3Cu4 after structural relaxation (PBE, Alexandria). Values from VASP.

Computed properties:
The space group is No. 51.

Quantum ESPRESSO input file:
```
&SYSTEM
  ibrav = 0, nat = 16, ntyp = 3
/
ATOMIC_SPECIES
Nd 144.24 Nd.upf
Sm 150.36 Sm.upf
Cu 63.55 Cu.upf
CELL_PARAMETERS angstrom
10.0821 0.0000 0.0000
0.0000 7.0862 0.0000
0.0000 0.0000 5.0413
ATOMIC_POSITIONS crystal
Nd 0.0000 0.0000 0.0000
Nd 0.5000 0.0000 0.0000
Sm 0.0000 0.5000 0.0000
Sm 0.2500 0.0000 0.5004
Sm 0.2500 0.5000 0.5004
Sm 0.5000 0.5000 0.0000
Sm 0.7500 0.0000 0.4996
Sm 0.7500 0.5000 0.4996
Cu 0.0000 0.2544 0.5000
Cu 0.0000 0.7456 0.5000
Cu 0.2500 0.2548 0.0013
Cu 0.2500 0.7452 0.0013
Cu 0.5000 0.2544 0.5000
Cu 0.5000 0.7456 0.5000
Cu 0.7500 0.2548 0.9987
Cu 0.7500 0.7452 0.9987
```

=====

Values of E, in order: -3.7221; -6.2564; -2.5875; -6.1631; -7.8518; -7.7600; -5.7356; -4.5822, all in eV per atom.